A plane-wave DFT calculation with PBE was carried out for a relaxed structure of BaInGaPt3.

Cell lengths 5.978, 6.584, 8.483 Å; angles 112.83, 90.00, 90.00 degrees
Positions (direct):
1 Ga 0.750 0.593 0.185
2 Ga 0.250 0.407 0.815
3 Pt 0.750 0.749 0.499
4 Pt 0.500 0.283 0.000
5 Pt 0.500 0.717 0.000
6 Pt 0.000 0.283 0.000
7 Pt 0.250 0.251 0.501
8 Pt 0.000 0.717 0.000
9 Ba 0.250 0.722 0.444
10 Ba 0.750 0.278 0.556
11 In 0.750 0.919 0.839
12 In 0.250 0.081 0.161

Results
E_form = -3.46 eV per formula unit
energy = -4.88 eV/atom
space group = No. 63